Entry from Alexandria: a geometry-optimized V2BrO4 structure (GGA+U).

```
data_V2BrO4
_chemical_formula_sum 'V4 Br2 O8'
_cell_length_a 5.949
_cell_length_b 5.990
_cell_length_c 6.139
_cell_angle_alpha 72.27
_cell_angle_beta 71.77
_cell_angle_gamma 66.91
_symmetry_space_group_name_H-M 'P -1'
_symmetry_Int_Tables_number 2
_symmetry_space_group_name_Hall '-P 1'
loop_
_atom_site_label
_atom_site_type_symbol
_atom_site_fract_x
_atom_site_fract_y
_atom_site_fract_z
V1 V 0.000 0.000 0.000
V2 V 0.000 0.000 0.500
V3 V 0.000 0.500 0.000
V4 V 0.500 0.000 0.000
Br1 Br 0.278 0.273 0.447
O1 O 0.140 0.774 0.788
O2 O 0.220 0.199 0.821
O3 O 0.253 0.861 0.214
O4 O 0.320 0.317 0.117
```

Calculated values
- DFT total energy (Ry per atom) = -0.485
- crystal system = triclinic